(1)
First-principles (GGA-PBE) data for crystalline CrHgMo3 at its relaxed geometry, as listed in Alexandria via LeMat-Bulk.

The space group is Pm-3m (No. 221) and the conventional cell measures 4.882, 4.882 and 4.882 Å, with angles of 90.00, 90.00 and 90.00 degrees. Symmetry generates all atoms from Cr at (0.000, 0.000, 0.000), Hg at (0.500, 0.500, 0.500) and Mo at (0.000, 0.500, 0.500).

The calculation puts the energy above the most stable polymorph in this dataset at 1.937 eV per atom. The density is 7.7 g/cm3. Its total magnetization is 1.0 μB/f.u. The value obtained for the total energy is -5.384 eV/atom.


(2)
First-principles (GGA-PBE) data for crystalline CrHgMo at its relaxed geometry, as listed in Alexandria via LeMat-Bulk.

The space group is Imm2 (No. 44) and the conventional cell measures 2.703, 4.197 and 8.456 Å, with angles of 90.00, 90.00 and 90.00 degrees. Symmetry generates all atoms from Cr at (0.000, 0.000, 0.000), Hg at (0.000, 0.000, 0.666) and Mo at (0.000, 0.000, 0.337).

The calculation puts the energy above the most stable polymorph in this dataset at 0.202 eV per atom. The density is 12.1 g/cm3. Its total magnetization is 0.0 μB/f.u. The value obtained for the total energy is -6.271 eV/atom.


(3)
First-principles (GGA-PBE) data for crystalline CrHgMo at its relaxed geometry, as listed in Alexandria via LeMat-Bulk.

The space group is P3m1 (No. 156) and the conventional cell measures 4.4828, 4.4828 and 2.7585 Å, with angles of 90.00, 90.00 and 120.00 degrees. Symmetry generates all atoms from Cr at (0.0000, 0.0000, 0.0000), Hg at (0.3333, 0.6667, 0.3487) and Mo at (0.6667, 0.3333, 0.7862).

The calculation puts the energy above the most stable polymorph in this dataset at 0.156 eV per atom. The density is 12.1 g/cm3. Its total magnetization is 0.0 μB/f.u. The value obtained for the total energy is -6.317 eV/atom.


(4)
First-principles (GGA-PBE) data for crystalline Cr2HgMo at its relaxed geometry, as listed in Alexandria via LeMat-Bulk.

The space group is P4mm (No. 99) and the conventional cell measures 3.191, 3.191 and 6.037 Å, with angles of 90.00, 90.00 and 90.00 degrees. Symmetry generates all atoms from Cr at (0.000, 0.000, 0.000), Cr at (0.500, 0.500, 0.177), Hg at (0.000, 0.000, 0.474) and Mo at (0.500, 0.500, 0.795).

The density is 10.8 g/cm3. Its total magnetization is 0.0 μB/f.u. The value obtained for the total energy is -7.170 eV/atom.


(5)
First-principles (GGA-PBE) data for crystalline Cr4HgMo at its relaxed geometry, as listed in Alexandria via LeMat-Bulk.

The space group is F-43m (No. 216) and the conventional cell measures 6.888, 6.888 and 6.888 Å, with angles of 90.00, 90.00 and 90.00 degrees. Symmetry generates all atoms from Cr at (0.124, 0.124, 0.124), Hg at (0.250, 0.250, 0.750) and Mo at (0.000, 0.000, 0.500).

The density is 10.3 g/cm3. Its total magnetization is 0.0 μB/f.u. The value obtained for the total energy is -8.000 eV/atom.


(6)
First-principles (GGA-PBE) data for crystalline Cr2HgMo at its relaxed geometry, as listed in Alexandria via LeMat-Bulk.

The space group is R3m (No. 160, hexagonal axes) and the conventional cell measures 2.8355, 2.8355 and 26.4715 Å, with angles of 90.00, 90.00 and 120.00 degrees. Symmetry generates all atoms from Cr at (0.0000, 0.0000, 0.0000), Cr at (0.0000, 0.0000, 0.2721), Hg at (0.0000, 0.0000, 0.7589) and Mo at (0.0000, 0.0000, 0.5228).

The density is 10.8 g/cm3. Its total magnetization is 0.0 μB/f.u. The value obtained for the total energy is -7.075 eV/atom.


(7)
First-principles (GGA-PBE) data for crystalline CrHgMo at its relaxed geometry, as listed in Alexandria via LeMat-Bulk.

The space group is P3m1 (No. 156) and the conventional cell measures 3.0319, 3.0319 and 6.4963 Å, with angles of 90.00, 90.00 and 120.00 degrees. Symmetry generates all atoms from Cr at (0.0000, 0.0000, 0.0000), Hg at (0.6667, 0.3333, 0.3619) and Mo at (0.3333, 0.6667, 0.7517).

The calculation puts the energy above the most stable polymorph in this dataset at 0.052 eV per atom. The density is 11.2 g/cm3. Its total magnetization is 0.0 μB/f.u. The value obtained for the total energy is -6.421 eV/atom.


(8)
First-principles (GGA-PBE) data for crystalline CrHg2Mo at its relaxed geometry, as listed in Alexandria via LeMat-Bulk.

The space group is I-42d (No. 122) and the conventional cell measures 7.575, 7.575 and 5.638 Å, with angles of 90.00, 90.00 and 90.00 degrees. Symmetry generates all atoms from Cr at (0.000, 0.000, 0.000), Hg at (0.246, 0.750, 0.125) and Mo at (0.000, 0.000, 0.500).

The calculation puts the energy above the most stable polymorph in this dataset at 0.579 eV per atom. The density is 11.3 g/cm3. Its total magnetization is 2.2 μB/f.u. The value obtained for the total energy is -4.271 eV/atom.


(9)
First-principles (GGA-PBE) data for crystalline CrHg2Mo at its relaxed geometry, as listed in Alexandria via LeMat-Bulk.

The space group is Fm-3m (No. 225) and the conventional cell measures 6.674, 6.674 and 6.674 Å, with angles of 90.00, 90.00 and 90.00 degrees. Symmetry generates all atoms from Cr at (0.000, 0.000, 0.000), Hg at (0.250, 0.250, 0.250) and Mo at (0.000, 0.000, 0.500).

The calculation puts the energy above the most stable polymorph in this dataset at 0.258 eV per atom. The density is 12.3 g/cm3. Its total magnetization is 1.8 μB/f.u. The value obtained for the total energy is -4.592 eV/atom.


(10)
First-principles (GGA-PBE) data for crystalline Cr2HgMo at its relaxed geometry, as listed in Alexandria via LeMat-Bulk.

The space group is Immm (No. 71) and the conventional cell measures 3.352, 4.408 and 8.182 Å, with angles of 90.00, 90.00 and 90.00 degrees. Symmetry generates all atoms from Cr at (0.000, 0.000, 0.231), Hg at (0.000, 0.500, 0.000) and Mo at (0.000, 0.500, 0.500).

The density is 11.0 g/cm3. Its total magnetization is 1.0 μB/f.u. The value obtained for the total energy is -6.982 eV/atom.


(11)
First-principles (GGA-PBE) data for crystalline Cr2HgMo at its relaxed geometry, as listed in Alexandria via LeMat-Bulk.

The space group is Imm2 (No. 44) and the conventional cell measures 3.060, 4.390 and 8.848 Å, with angles of 90.00, 90.00 and 90.00 degrees. Symmetry generates all atoms from Cr at (0.000, 0.000, 0.000), Cr at (0.000, 0.500, 0.299), Hg at (0.000, 0.500, 0.766) and Mo at (0.000, 0.000, 0.546).

The density is 11.2 g/cm3. Its total magnetization is 0.0 μB/f.u. The value obtained for the total energy is -7.070 eV/atom.


(12)
First-principles (GGA-PBE) data for crystalline CrHg2Mo at its relaxed geometry, as listed in Alexandria via LeMat-Bulk.

The space group is F-43m (No. 216) and the conventional cell measures 6.643, 6.643 and 6.643 Å, with angles of 90.00, 90.00 and 90.00 degrees. Symmetry generates all atoms from Cr at (0.000, 0.000, 0.000), Hg at (0.000, 0.000, 0.500), Hg at (0.250, 0.250, 0.250) and Mo at (0.250, 0.250, 0.750).

The calculation puts the energy above the most stable polymorph in this dataset at 0.319 eV per atom. The density is 12.4 g/cm3. Its total magnetization is 1.9 μB/f.u. The value obtained for the total energy is -4.531 eV/atom.


(13)
First-principles (GGA-PBE) data for crystalline Cr2HgMo at its relaxed geometry, as listed in Alexandria via LeMat-Bulk.

The space group is P2/m (No. 10) and the conventional cell measures 4.737, 2.904 and 4.902 Å, with angles of 90.00, 110.29 and 90.00 degrees. Symmetry generates all atoms from Cr at (0.000, 0.000, 0.000), Cr at (0.000, 0.500, 0.500), Hg at (0.500, 0.000, 0.500) and Mo at (0.500, 0.500, 0.000).

The density is 10.5 g/cm3. Its total magnetization is 0.4 μB/f.u. The value obtained for the total energy is -6.971 eV/atom.


(14)
First-principles (GGA-PBE) data for crystalline CrHg2Mo at its relaxed geometry, as listed in Alexandria via LeMat-Bulk.

The space group is I-4m2 (No. 119) and the conventional cell measures 4.196, 4.196 and 8.227 Å, with angles of 90.00, 90.00 and 90.00 degrees. Symmetry generates all atoms from Cr at (0.000, 0.000, 0.000), Hg at (0.000, 0.000, 0.500), Hg at (0.000, 0.500, 0.750) and Mo at (0.000, 0.500, 0.250).

The calculation puts the energy above the most stable polymorph in this dataset at 0.245 eV per atom. The density is 12.6 g/cm3. Its total magnetization is 1.6 μB/f.u. The value obtained for the total energy is -4.606 eV/atom.


(15)
First-principles (GGA-PBE) data for crystalline CrHg2Mo at its relaxed geometry, as listed in Alexandria via LeMat-Bulk.

The space group is Cmm2 (No. 35) and the conventional cell measures 3.133, 4.954 and 9.539 Å, with angles of 90.00, 90.00 and 90.00 degrees. Symmetry generates all atoms from Cr at (0.000, 0.000, 0.000), Hg at (0.000, 0.000, 0.452), Hg at (0.000, 0.500, 0.749) and Mo at (0.000, 0.500, 0.183).

The calculation puts the energy above the most stable polymorph in this dataset at 0.041 eV per atom. The density is 12.3 g/cm3. Its total magnetization is 0.0 μB/f.u. The value obtained for the total energy is -4.809 eV/atom.


(16)
First-principles (GGA-PBE) data for crystalline Cr2HgMo at its relaxed geometry, as listed in Alexandria via LeMat-Bulk.

The space group is C2/m (No. 12) and the conventional cell measures 5.507, 8.783 and 2.663 Å, with angles of 90.00, 110.67 and 90.00 degrees. Symmetry generates all atoms from Cr at (0.250, 0.250, 0.000), Hg at (0.000, 0.000, 0.500) and Mo at (0.000, 0.500, 0.500).

The density is 11.0 g/cm3. Its total magnetization is 0.0 μB/f.u. The value obtained for the total energy is -6.916 eV/atom.


(17)
First-principles (GGA-PBE) data for crystalline CrHg2Mo at its relaxed geometry, as listed in Alexandria via LeMat-Bulk.

The space group is Pmmm (No. 47) and the conventional cell measures 2.949, 4.244 and 5.806 Å, with angles of 90.00, 90.00 and 90.00 degrees. Symmetry generates all atoms from Cr at (0.000, 0.000, 0.000), Hg at (0.500, 0.500, 0.248) and Mo at (0.000, 0.000, 0.500).

The calculation puts the energy above the most stable polymorph in this dataset at 0.220 eV per atom. The density is 12.5 g/cm3. Its total magnetization is 2.3 μB/f.u. The value obtained for the total energy is -4.630 eV/atom.


(18)
First-principles (GGA-PBE) data for crystalline Cr3HgMo at its relaxed geometry, as listed in Alexandria via LeMat-Bulk.

The space group is Pm-3m (No. 221) and the conventional cell measures 4.920, 4.920 and 4.920 Å, with angles of 90.00, 90.00 and 90.00 degrees. Symmetry generates all atoms from Cr at (0.000, 0.000, 0.500), Hg at (0.000, 0.000, 0.000) and Mo at (0.500, 0.500, 0.500).

The calculation puts the energy above the most stable polymorph in this dataset at 0.977 eV per atom. The density is 6.3 g/cm3. Its total magnetization is 13.4 μB/f.u. The value obtained for the total energy is -5.683 eV/atom.


(19)
First-principles (GGA-PBE) data for crystalline Cr2HgMo at its relaxed geometry, as listed in Alexandria via LeMat-Bulk.

The space group is Cmm2 (No. 35) and the conventional cell measures 3.107, 4.443 and 8.806 Å, with angles of 90.00, 90.00 and 90.00 degrees. Symmetry generates all atoms from Cr at (0.000, 0.000, 0.000), Cr at (0.000, 0.500, 0.198), Hg at (0.000, 0.000, 0.473) and Mo at (0.000, 0.500, 0.767).

The density is 10.9 g/cm3. Its total magnetization is 0.0 μB/f.u. The value obtained for the total energy is -7.131 eV/atom.


(20)
First-principles (GGA-PBE) data for crystalline CrHg2Mo at its relaxed geometry, as listed in Alexandria via LeMat-Bulk.

The space group is P4mm (No. 99) and the conventional cell measures 3.148, 3.148 and 7.375 Å, with angles of 90.00, 90.00 and 90.00 degrees. Symmetry generates all atoms from Cr at (0.000, 0.000, 0.000), Hg at (0.000, 0.000, 0.567), Hg at (0.500, 0.500, 0.259) and Mo at (0.500, 0.500, 0.845).

The calculation puts the energy above the most stable polymorph in this dataset at 0.016 eV per atom. The density is 12.5 g/cm3. Its total magnetization is 0.8 μB/f.u. The value obtained for the total energy is -4.835 eV/atom.